## RbCd6In (GGA-PBE)

Data for a relaxed structure of RbCd6In.

Calculated values
As for the total magnetization: 0.00 μB/atom. The mass density comes out at 6.1 Mg/m³. Its formation energy is 0.3 kJ per mole of atoms. The energy above the most stable polymorph in this dataset is 19.4 meV per atom.

```
data_RbCd6In
_chemical_formula_sum 'Rb3 Cd18 In3'
_cell_length_a 4.9358
_cell_length_b 4.9358
_cell_length_c 33.8582
_cell_angle_alpha 90.00
_cell_angle_beta 90.00
_cell_angle_gamma 120.00
_symmetry_space_group_name_H-M 'R -3 m'
_symmetry_Int_Tables_number 166
_symmetry_space_group_name_Hall '-R 3 2"'
loop_
_atom_site_label
_atom_site_type_symbol
_atom_site_fract_x
_atom_site_fract_y
_atom_site_fract_z
Rb1 Rb 0.0000 0.0000 0.0000
Cd1 Cd 0.0000 0.0000 0.1279
Cd2 Cd 0.0000 0.0000 0.2445
Cd3 Cd 0.0000 0.0000 0.4072
In1 In 0.0000 0.0000 0.5000
```

## Ca2GeOs (GGA-PBE)

Data for a relaxed structure of Ca2GeOs.

Calculated values
As for the total magnetization: 0.00 μB/atom. The mass density comes out at 4.3 Mg/m³. Its formation energy is 8.4 kJ per mole of atoms.

```
data_Ca2GeOs
_chemical_formula_sum 'Ca8 Ge4 Os4'
_cell_length_a 10.548
_cell_length_b 10.548
_cell_length_c 4.750
_cell_angle_alpha 90.00
_cell_angle_beta 90.00
_cell_angle_gamma 90.00
_symmetry_space_group_name_H-M 'I -4 2 d'
_symmetry_Int_Tables_number 122
_symmetry_space_group_name_Hall 'I -4 2bw'
loop_
_atom_site_label
_atom_site_type_symbol
_atom_site_fract_x
_atom_site_fract_y
_atom_site_fract_z
Ca1 Ca 0.071 0.250 0.125
Ge1 Ge 0.000 0.000 0.500
Os1 Os 0.000 0.000 0.000
```

## AlSe2Br (GGA-PBE)

Data for a relaxed structure of AlSe2Br.

Calculated values
As for the total magnetization: 0.05 μB/atom. As for the energy relative to the elements, uncorrected: 0.151 eV/atom. The mass density comes out at 4.4 Mg/m³. The energy above the most stable polymorph in this dataset is 726.3 meV per atom.

```
data_AlSe2Br
_chemical_formula_sum 'Al2 Se4 Br2'
_cell_length_a 5.392
_cell_length_b 13.536
_cell_length_c 2.750
_cell_angle_alpha 90.00
_cell_angle_beta 90.00
_cell_angle_gamma 90.00
_symmetry_space_group_name_H-M 'C m m m'
_symmetry_Int_Tables_number 65
_symmetry_space_group_name_Hall '-C 2 2'
loop_
_atom_site_label
_atom_site_type_symbol
_atom_site_fract_x
_atom_site_fract_y
_atom_site_fract_z
Al1 Al 0.000 0.000 0.000
Se1 Se 0.250 0.250 0.500
Br1 Br 0.000 0.500 0.000
```

## Tb2PrDyS4 (GGA-PBE)

Data for a relaxed structure of Tb2PrDyS4.

Calculated values
As for the total magnetization: 0.00 μB/atom. As for the energy relative to the elements, uncorrected: -2.000 eV/atom. The mass density comes out at 7.0 Mg/m³.

```
data_Tb2PrDyS4
_chemical_formula_sum 'Tb2 Pr1 Dy1 S4'
_cell_length_a 6.878
_cell_length_b 3.925
_cell_length_c 6.923
_cell_angle_alpha 90.00
_cell_angle_beta 108.93
_cell_angle_gamma 90.00
_symmetry_space_group_name_H-M 'P 1 2/m 1'
_symmetry_Int_Tables_number 10
loop_
_symmetry_equiv_pos_as_xyz
'x,y,z'
'-x,-y,-z'
'-x,y,-z'
'x,-y,z'
loop_
_atom_site_label
_atom_site_type_symbol
_atom_site_fract_x
_atom_site_fract_y
_atom_site_fract_z
Tb1 Tb 0.000 0.000 0.000
Tb2 Tb 0.000 0.500 0.500
Pr1 Pr 0.500 0.000 0.500
Dy1 Dy 0.500 0.500 0.000
S1 S 0.240 0.500 0.238
S2 S 0.246 0.000 0.757
```

## CsLaSnCl6 (GGA-PBE)

Data for a relaxed structure of CsLaSnCl6.

Calculated values
As for the total magnetization: 0.00 μB/atom. As for the energy relative to the elements, uncorrected: -1.808 eV/atom. The mass density comes out at 2.6 Mg/m³.

```
data_CsLaSnCl6
_chemical_formula_sum 'Cs4 La4 Sn4 Cl24'
_cell_length_a 10.079
_cell_length_b 10.490
_cell_length_c 14.761
_cell_angle_alpha 90.00
_cell_angle_beta 90.00
_cell_angle_gamma 90.00
_symmetry_space_group_name_H-M 'I m m a'
_symmetry_Int_Tables_number 74
_symmetry_space_group_name_Hall '-I 2b 2'
loop_
_atom_site_label
_atom_site_type_symbol
_atom_site_fract_x
_atom_site_fract_y
_atom_site_fract_z
Cs1 Cs 0.000 0.250 0.063
La1 La 0.000 0.000 0.500
Sn1 Sn 0.250 0.250 0.750
Cl1 Cl 0.000 0.250 0.430
Cl2 Cl 0.000 0.250 0.831
Cl3 Cl 0.206 0.049 0.620
```

## Be6Co (GGA-PBE)

Data for a relaxed structure of Be6Co.

Calculated values
As for the total magnetization: 0.33 μB/atom. The mass density comes out at 2.2 Mg/m³. Its formation energy is 133.4 kJ per mole of atoms. The energy above the most stable polymorph in this dataset is 1454.5 meV per atom.

```
data_Be6Co
_chemical_formula_sum 'Be12 Co2'
_cell_length_a 5.506
_cell_length_b 5.506
_cell_length_c 5.506
_cell_angle_alpha 90.00
_cell_angle_beta 90.00
_cell_angle_gamma 90.00
_symmetry_space_group_name_H-M 'I m -3 m'
_symmetry_Int_Tables_number 229
_symmetry_space_group_name_Hall '-I 4 2 3'
loop_
_atom_site_label
_atom_site_type_symbol
_atom_site_fract_x
_atom_site_fract_y
_atom_site_fract_z
Be1 Be 0.000 0.250 0.500
Co1 Co 0.000 0.000 0.000
```

## ScIn2Au (GGA-PBE)

Data for a relaxed structure of ScIn2Au.

Calculated values
As for the total magnetization: 0.00 μB/atom. The mass density comes out at 8.8 Mg/m³. Its formation energy is -27.1 kJ per mole of atoms.

```
data_ScIn2Au
_chemical_formula_sum 'Sc2 In4 Au2'
_cell_length_a 3.946
_cell_length_b 4.524
_cell_length_c 9.985
_cell_angle_alpha 90.00
_cell_angle_beta 90.00
_cell_angle_gamma 90.00
_symmetry_space_group_name_H-M 'I m m m'
_symmetry_Int_Tables_number 71
_symmetry_space_group_name_Hall '-I 2 2'
loop_
_atom_site_label
_atom_site_type_symbol
_atom_site_fract_x
_atom_site_fract_y
_atom_site_fract_z
Sc1 Sc 0.000 0.000 0.000
In1 In 0.000 0.500 0.234
Au1 Au 0.000 0.000 0.500
```

## Ag2POsN (GGA-PBE)

Data for a relaxed structure of Ag2POsN.

Calculated values
As for the total magnetization: 0.68 μB/atom. As for the energy relative to the elements, uncorrected: 1.740 eV/atom. The mass density comes out at 6.1 Mg/m³.

```
data_Ag2POsN
_chemical_formula_sum 'Ag2 P1 Os1 N1'
_cell_length_a 5.288
_cell_length_b 5.288
_cell_length_c 4.382
_cell_angle_alpha 90.00
_cell_angle_beta 90.00
_cell_angle_gamma 90.00
_symmetry_space_group_name_H-M 'P 4/m m m'
_symmetry_Int_Tables_number 123
_symmetry_space_group_name_Hall '-P 4 2'
loop_
_atom_site_label
_atom_site_type_symbol
_atom_site_fract_x
_atom_site_fract_y
_atom_site_fract_z
Ag1 Ag 0.000 0.500 0.000
P1 P 0.000 0.000 0.500
Os1 Os 0.000 0.000 0.000
N1 N 0.500 0.500 0.500
```